Record 1
{
  "formula": "Mg2ZrBe",
  "functional": "GGA-PBE",
  "state": "relaxed",
  "lattice_angstrom": [[-1.458, -0.588, -2.480], [0.681, -4.119, 0.576], [-5.195, -0.418, 3.154]],
  "species": ["Be", "Zr", "Mg", "Mg"],
  "frac_coords": [[0.500, 0.500, 0.750], [0.500, 0.500, 0.250], [0.000, 0.000, 0.977], [0.000, 0.000, 0.523]],
  "dos_at_fermi_per_ev_atom": 0.60,
  "formation_enthalpy_0k_mev_per_atom": 318,
  "final_energy_ev_per_atom": -3.548,
  "volume_a3_per_cell": 75.4
}



Record 2
{
  "formula": "VHIr2Rh",
  "functional": "GGA-PBE",
  "state": "relaxed",
  "lattice_angstrom": [[-3.309, 1.816, -0.954], [0.224, -1.480, -3.594], [-2.020, -3.081, 1.143]],
  "species": ["V", "Ir", "Rh", "H", "Ir"],
  "frac_coords": [[0.500, 0.500, 0.500], [0.000, 0.500, 0.000], [0.000, 0.000, 0.500], [0.000, 0.000, 0.000], [0.500, 0.000, 0.000]],
  "dos_at_fermi_per_ev_atom": 0.70,
  "final_energy_ev_per_atom": -7.721,
  "relative_energy_ev_per_atom": 0.004,
  "volume_a3_per_cell": 58.5
}



Record 3
{
  "formula": "LaTiO2F",
  "functional": "GGA-PBE",
  "state": "relaxed",
  "lattice_angstrom": [[-0.751, 0.975, 4.478], [-4.514, 0.626, -0.894], [-0.774, -4.398, 0.828]],
  "species": ["Ti", "O", "La", "F", "O"],
  "frac_coords": [[0.500, 0.500, 0.500], [0.000, 0.500, 0.000], [0.000, 0.000, 0.000], [0.000, 0.000, 0.500], [0.500, 0.000, 0.000]],
  "dos_at_fermi_per_ev_atom": 1.77,
  "raw_formation_energy_ev_per_atom": -1.7374,
  "final_energy_ev_per_atom": -6.659,
  "volume_a3_per_cell": 98.0
}



Record 4
{
  "formula": "AsP2Au",
  "functional": "GGA-PBE",
  "state": "relaxed",
  "lattice_angstrom": [[2.758, 0.001, 0.000], [-0.920, 2.600, 0.000], [0.000, 0.000, 9.490]],
  "species": ["As", "Au", "P", "P"],
  "frac_coords": [[0.500, 0.500, 0.250], [0.500, 0.500, 0.750], [0.000, 0.000, 0.000], [0.000, 0.000, 0.500]],
  "dos_at_fermi_per_ev_atom": 0.46,
  "formation_enthalpy_0k_mev_per_atom": 594,
  "final_energy_ev_per_atom": -4.093,
  "volume_a3_per_cell": 68.1
}



Record 5
{
  "formula": "Mo2As2Pd",
  "functional": "GGA-PBE",
  "state": "relaxed",
  "lattice_angstrom": [[7.198, 0.000, 0.000], [0.000, 7.198, 0.000], [0.000, 0.000, 3.132]],
  "species": ["Mo", "Mo", "Pd", "As", "As", "Mo", "As", "Pd", "Mo", "As"],
  "frac_coords": [[0.140, 0.360, 0.000], [0.860, 0.640, 0.000], [0.500, 0.500, 0.000], [0.347, 0.153, 0.500], [0.847, 0.347, 0.500], [0.640, 0.140, 0.000], [0.153, 0.653, 0.500], [0.000, 0.000, 0.000], [0.360, 0.860, 0.000], [0.653, 0.847, 0.500]],
  "dos_at_fermi_per_ev_atom": 0.63,
  "formation_enthalpy_0k_mev_per_atom": -13,
  "final_energy_ev_per_atom": -7.244,
  "relative_energy_ev_per_atom": 0.011,
  "volume_a3_per_cell": 162.3
}



Record 6
{
  "formula": "ZrScBiAs2",
  "functional": "GGA-PBE",
  "state": "relaxed",
  "lattice_angstrom": [[-2.754, 3.010, -2.851], [2.036, -2.389, -4.489], [-3.711, -3.317, 0.083]],
  "species": ["As", "Sc", "Zr", "As", "Bi"],
  "frac_coords": [[0.000, 0.000, 0.500], [0.000, 0.000, 0.000], [0.000, 0.500, 0.000], [0.500, 0.000, 0.000], [0.500, 0.500, 0.500]],
  "dos_at_fermi_per_ev_atom": 1.10,
  "formation_enthalpy_0k_mev_per_atom": 399,
  "final_energy_ev_per_atom": -5.213,
  "volume_a3_per_cell": 135.7
}